A | SrZrIr | PBE | optimized geometry

POSCAR file:
```
SrZrIr
1.0
-4.320 -0.180 1.862
-0.830 -2.704 3.763
-0.844 1.985 4.185
Ir Sr Zr
1 1 1
Cartesian
-2.997 -0.450 4.905
-1.499 -0.225 2.453
0.000 0.000 0.000
```

Space group: F-43m (216)
DOS at the Fermi energy (states/eV/cell): 2.397


B | SrZrIr | PBE | optimized geometry

POSCAR file:
```
SrZrIr
1.0
-0.232 -0.267 4.646
1.270 -4.478 -0.194
7.183 2.017 0.474
Zr Sr Ir
2 2 2
Cartesian
3.592 1.009 0.237
4.111 -1.364 2.463
6.826 -0.501 0.311
0.877 0.145 2.388
2.921 -1.597 0.054
4.782 1.242 2.646
```

Space group: P4/nmm (129)
DOS at the Fermi energy (states/eV/cell): 6.478


We find B to be the most stable, with the next structure 1714 meV per atom higher.


A | SrZrIr | PBE | optimized geometry

POSCAR file:
```
SrZrIr
1.0
6.892 -0.012 0.013
6.010 3.374 0.020
0.882 0.222 3.378
Ir Sr Zr
1 1 1
Cartesian
1.246 0.317 3.277
5.125 1.331 2.197
8.296 2.159 1.315
```

Space group: I4mm (107)
DOS at the Fermi energy (states/eV/cell): 4.195


B | SrZrIr | PBE | optimized geometry

POSCAR file:
```
SrZrIr
1.0
4.021 0.000 0.000
-2.010 3.482 0.000
0.000 0.000 6.567
Ir Zr Sr
1 1 1
Cartesian
0.000 0.000 6.284
2.010 1.161 5.134
0.000 2.321 1.716
```

Space group: P3m1 (156)
DOS at the Fermi energy (states/eV/cell): 2.946


We find A to be the most stable, with the next structure 85 meV per atom higher.


A | SrZr3Ir | PBE | optimized geometry

POSCAR file:
```
SrZr3Ir
1.0
-0.478 2.356 4.320
-4.549 -1.867 0.515
1.876 -3.925 2.349
Zr Ir Sr
3 1 1
Cartesian
-2.274 -0.933 0.257
-0.239 1.178 2.160
0.938 -1.962 1.174
-1.575 -1.717 3.592
0.000 0.000 0.000
```

Space group: Pm-3m (221)
DOS at the Fermi energy (states/eV/cell): 13.975


B | SrZr3Ir | PBE | optimized geometry

POSCAR file:
```
SrZr3Ir
1.0
5.210 0.000 0.000
0.000 5.210 0.000
0.000 0.000 5.210
Zr Sr Ir
3 1 1
Cartesian
0.000 0.000 2.605
2.605 0.000 0.000
0.000 2.605 0.000
2.605 2.605 2.605
0.000 0.000 0.000
```

Space group: Pm-3m (221)
DOS at the Fermi energy (states/eV/cell): 6.506


We find B to be the most stable, with the next structure 2003 meV per atom higher.


A | SrZr2Ir2 | PBE | optimized geometry

POSCAR file:
```
SrZr2Ir2
1.0
-2.563 3.778 -0.155
-2.286 -1.698 -3.571
-6.130 -1.330 1.635
Ir Zr Sr
2 2 1
Cartesian
-3.298 0.481 -1.039
-7.681 0.269 -1.053
-5.420 -0.994 -1.900
-5.559 1.744 -0.192
0.000 0.000 0.000
```

Space group: I4/mmm (139)
DOS at the Fermi energy (states/eV/cell): 3.186


B | SrZr2Ir2 | PBE | optimized geometry

POSCAR file:
```
SrZr2Ir2
1.0
-0.665 -4.504 6.811
3.596 -6.297 -3.813
2.855 1.044 0.969
Ir Zr Sr
4 4 2
Cartesian
0.074 -3.749 3.821
1.724 -7.901 3.432
2.858 -7.051 -0.823
1.207 -2.900 -0.434
4.066 -7.763 1.636
1.721 -1.993 2.331
2.131 -5.545 4.949
3.656 -4.212 -0.982
0.000 0.000 0.000
1.466 -5.400 1.499
```

Space group: P4/mbm (127)
DOS at the Fermi energy (states/eV/cell): 8.041


We find A to be the most stable, with the next structure 230 meV per atom higher.


A | SrZr2Ir2 | PBE | optimized geometry

POSCAR file:
```
SrZr2Ir2
1.0
-2.458 2.458 5.263
2.458 -2.458 5.263
2.458 2.458 -5.263
Ir Sr Zr
2 1 2
Cartesian
2.458 0.000 2.632
0.000 2.458 2.632
0.000 0.000 0.000
0.000 0.000 3.618
0.000 0.000 6.909
```

Space group: I4/mmm (139)
DOS at the Fermi energy (states/eV/cell): 4.156


B | SrZr2Ir2 | PBE | optimized geometry

POSCAR file:
```
SrZr2Ir2
1.0
-6.114 5.448 0.771
-2.881 -2.188 -7.387
-1.751 -2.152 1.321
Sr Ir Zr
2 4 4
Cartesian
0.000 0.000 0.000
-4.498 1.630 -3.308
-7.082 2.789 -1.271
-7.298 0.604 -5.119
-3.448 0.503 -0.177
-3.664 -1.682 -4.025
-4.666 0.075 -6.066
-4.329 3.185 -0.550
-1.898 -0.015 -2.540
-7.098 3.274 -4.076
```

Space group: P4/mbm (127)
DOS at the Fermi energy (states/eV/cell): 8.009


We find B to be the most stable, with the next structure 236 meV per atom higher.


A | Ta2Ir3 | PBE | optimized geometry

POSCAR file:
```
Ta2Ir3
1.0
-3.757 -2.405 -1.971
0.908 -3.628 -1.230
-0.782 -3.484 3.404
Ir Ta
3 2
Cartesian
-2.716 -6.916 -0.489
-0.916 -2.602 0.692
0.000 0.000 0.000
-2.000 -4.349 -1.248
-1.631 -5.168 1.451
```

Space group: C2/m (12)
DOS at the Fermi energy (states/eV/cell): 3.971


B | Ta2Ir3 | PBE | optimized geometry

POSCAR file:
```
Ta2Ir3
1.0
11.389 -1.425 -0.013
11.389 1.425 -0.013
11.214 0.000 2.449
Ir Ta
3 2
Cartesian
0.000 0.000 0.000
6.854 0.000 0.489
27.138 0.000 1.935
20.372 0.000 1.452
13.620 0.000 0.971
```

Space group: R-3m (166)
DOS at the Fermi energy (states/eV/cell): 6.597


C | Ta2Ir3 | PBE | optimized geometry

POSCAR file:
```
Ta2Ir3
1.0
2.168 -3.755 0.000
2.168 3.755 0.000
0.000 0.000 5.467
Ta Ir
2 3
Cartesian
2.168 1.252 4.441
2.168 -1.252 1.026
2.168 1.252 1.864
2.168 -1.252 3.603
0.000 0.000 0.000
```

Space group: P-3m1 (164)
DOS at the Fermi energy (states/eV/cell): 3.974


We find A to be the most stable, with the next structure 282 meV per atom higher.